1.
Compound: Na2Li2Tl
Source: Alexandria via LeMat-Bulk
Functional: PBE
Structure: relaxed

a = 8.429 Å, b = 8.429 Å, c = 3.693 Å
α = 90.00°, β = 90.00°, γ = 90.00°
Fractional coordinates of all 10 atoms:
Na: 0.136 0.364 0.000
Na: 0.364 0.864 0.000
Na: 0.636 0.136 0.000
Na: 0.864 0.636 0.000
Li: 0.170 0.670 0.500
Li: 0.330 0.170 0.500
Li: 0.670 0.830 0.500
Li: 0.830 0.330 0.500
Tl: 0.000 0.000 0.000
Tl: 0.500 0.500 0.000

Calculated values
- formation energy (eV/atom) = 0.046
- relative energy among the computed polymorphs (meV per atom) = 146
- magnetic moment (μB/cell) = 0.00
- space group = P4/mbm (127)



2.
Compound: Pm12Nd2Dy5
Source: Alexandria via LeMat-Bulk
Functional: PBE
Structure: relaxed

a = 10.746 Å, b = 10.746 Å, c = 6.237 Å
α = 100.62°, β = 100.62°, γ = 66.20°
Fractional coordinates of all 19 atoms:
Pm: 0.043 0.559 0.799
Pm: 0.056 0.056 0.275
Pm: 0.146 0.646 0.385
Pm: 0.354 0.854 0.615
Pm: 0.377 0.377 0.004
Pm: 0.441 0.957 0.201
Pm: 0.559 0.043 0.799
Pm: 0.623 0.623 0.996
Pm: 0.646 0.146 0.385
Pm: 0.854 0.354 0.615
Pm: 0.944 0.944 0.725
Pm: 0.957 0.441 0.201
Nd: 0.274 0.726 0.000
Nd: 0.726 0.274 0.000
Dy: 0.177 0.177 0.858
Dy: 0.286 0.286 0.452
Dy: 0.500 0.500 0.500
Dy: 0.714 0.714 0.548
Dy: 0.823 0.823 0.142

Calculated values
- formation energy (eV/atom) = 0.098
- relative energy among the computed polymorphs (meV per atom) = 0
- magnetic moment (μB/cell) = 0.00
- space group = C2/m (12)



3.
Compound: Cr2HgSb
Source: Alexandria via LeMat-Bulk
Functional: PBE
Structure: relaxed

a = 3.459 Å, b = 3.459 Å, c = 6.638 Å
α = 90.00°, β = 90.00°, γ = 90.00°
Fractional coordinates of all 4 atoms:
Cr: 0.000 0.000 0.247
Cr: 0.000 0.000 0.753
Hg: 0.500 0.500 0.500
Sb: 0.500 0.500 0.000

Calculated values
- energy relative to the elements, uncorrected (eV/atom) = 0.438
- relative energy among the computed polymorphs (meV per atom) = 149
- magnetic moment (μB/cell) = 7.96
- space group = P4/mmm (123)



4.
Compound: Ho4Te3H
Source: Alexandria via LeMat-Bulk
Functional: PBE
Structure: relaxed

a = 9.436 Å, b = 8.131 Å, c = 6.054 Å
α = 90.00°, β = 90.00°, γ = 90.00°
Fractional coordinates of all 16 atoms:
Ho: 0.000 0.124 0.000
Ho: 0.000 0.874 0.511
Ho: 0.191 0.259 0.513
Ho: 0.309 0.741 0.013
Ho: 0.500 0.126 0.011
Ho: 0.500 0.876 0.500
Ho: 0.691 0.741 0.013
Ho: 0.809 0.259 0.513
Te: 0.000 0.759 0.013
Te: 0.241 0.360 0.013
Te: 0.259 0.640 0.513
Te: 0.500 0.241 0.513
Te: 0.741 0.640 0.513
Te: 0.759 0.360 0.013
H: 0.000 0.132 0.362
H: 0.500 0.868 0.862

Calculated values
- magnetic moment (μB/cell) = 0.00
- space group = Pmn2_1 (31)
- calculated total energy (eV/atom) = -4.76